Material: Sc2SbAs
Method: DFT, PBE
State: relaxed

Cell lengths 3.9840, 3.9840, 20.3584 Å; angles 90.00, 90.00, 120.00 degrees
Closest atoms and distances in Å follow each position.
Space group R3m (No. 160, hexagonal axes)
Symmetry-distinct sites (fractional):
Sc 0.0000 0.0000 0.0000 (multiplicity 3)  3 As 2.79, 3 Sb 2.97
Sc 0.0000 0.0000 0.1832 (multiplicity 3)  3 As 2.73, 3 Sb 2.95
Sb 0.0000 0.0000 0.7592 (multiplicity 3)  6 Sc 2.95-2.97
As 0.0000 0.0000 0.5890 (multiplicity 3)  6 Sc 2.73-2.79

Results
total energy	-6.42	eV/atom
formation energy without anion corrections	-410.3	kJ/mol of formula units
calculated volume	23.32	A^3/atom

***

Material: Y2FePb
Method: DFT, PBE
State: relaxed

Cell lengths 3.5448, 5.0235, 11.0412 Å; angles 90.00, 90.00, 90.00 degrees
Closest atoms and distances in Å follow each position.
Space group Imm2 (No. 44)
Symmetry-distinct sites (fractional):
Y 0.0000 0.0000 0.0000 (multiplicity 2)  4 Fe 3.08, 2 Y 3.39, 2 Pb 3.39
Y 0.0000 0.5000 0.2064 (multiplicity 2)  2 Fe 2.96, 4 Pb 3.22
Fe 0.0000 0.0000 0.4921 (multiplicity 2)  2 Pb 2.82, 6 Y 2.96-3.08
Pb 0.0000 0.5000 0.7933 (multiplicity 2)  2 Fe 2.82

Results
total energy	-6.33	eV/atom
calculated volume	24.58	A^3/atom

***

Material: TiRuPb2
Method: DFT, PBE
State: relaxed

Cell lengths 7.6807, 7.6807, 5.9828 Å; angles 90.00, 90.00, 90.00 degrees
Closest atoms and distances in Å follow each position.
Space group I-42d (No. 122)
Symmetry-distinct sites (fractional):
Ti 0.0000 0.0000 0.0000 (multiplicity 4)  4 Pb 2.93, 2 Ru 2.99
Ru 0.0000 0.0000 0.5000 (multiplicity 4)  4 Pb 2.71, 2 Ti 2.99
Pb 0.2294 0.7500 0.6250 (multiplicity 8)  2 Ru 2.71, 2 Ti 2.93, 2 Pb 3.01

Results
total energy	-5.59	eV/atom
energy above the most stable polymorph in this dataset	204.9	meV/atom
calculated volume	22.06	A^3/atom

***

Material: Zr2SiOs
Method: DFT, PBE
State: relaxed

Cell lengths 5.8163, 7.6915, 3.1681 Å; angles 90.00, 90.00, 90.00 degrees
Closest atoms and distances in Å follow each position.
Space group Cmmm (No. 65)
Symmetry-distinct sites (fractional):
Zr 0.2500 0.2500 0.0000 (multiplicity 4)  4 Os 2.88, 4 Si 2.88, 4 Zr 2.91-3.17
Si 0.0000 0.0000 0.5000 (multiplicity 2)  8 Zr 2.88, 2 Os 2.91, 2 Si 3.17
Os 0.0000 0.5000 0.5000 (multiplicity 2)  8 Zr 2.88, 2 Si 2.91, 2 Os 3.17

Results
total energy	-8.88	eV/atom
formation energy without anion corrections	-171.5	kJ/mol of formula units
calculated volume	17.72	A^3/atom

***

no.,total moment (μB per atom)
1,0.000
2,0.285
3,0.000
4,0.000